(1)
A plane-wave DFT calculation with PBE was carried out for a relaxed NpRh3 crystal.

Structure (CIF):
```
data_NpRh3
_chemical_formula_sum 'Np1 Rh3'
_space_group_name_H-M_alt 'P m -3 m'
_space_group_IT_number 221
_space_group_name_Hall '-P 4 2 3'
_cell_length_a 4.024
_cell_length_b 4.024
_cell_length_c 4.024
_cell_angle_alpha 90.00
_cell_angle_beta 90.00
_cell_angle_gamma 90.00
loop_
_atom_site_label
_atom_site_fract_x
_atom_site_fract_y
_atom_site_fract_z
Np1 0.000 0.000 0.000
Rh1 0.000 0.500 0.500
```

Calculated values
**Energy of formation**: -40 kJ/mol of atoms
**Total energy**: -9.1595 eV per atom

(2)
A plane-wave DFT calculation with PBE was carried out for a relaxed AlHgS4 crystal.

Structure (CIF):
```
data_AlHgS4
_chemical_formula_sum 'Al4 Hg4 S16'
_space_group_name_H-M_alt 'C 1 2/c 1'
_space_group_IT_number 15
_cell_length_a 5.060
_cell_length_b 24.665
_cell_length_c 6.235
_cell_angle_alpha 90.00
_cell_angle_beta 98.15
_cell_angle_gamma 90.00
loop_
_space_group_symop_operation_xyz
'x,y,z'
'-x,-y,-z'
'-x,y,-z+1/2'
'x,-y,z+1/2'
'x+1/2,y+1/2,z'
'-x+1/2,-y+1/2,-z'
'-x+1/2,y+1/2,-z+1/2'
'x+1/2,-y+1/2,z+1/2'
loop_
_atom_site_label
_atom_site_fract_x
_atom_site_fract_y
_atom_site_fract_z
Al1 0.000 0.001 0.250
Hg1 0.000 0.375 0.250
S1 0.168 0.199 0.849
S2 0.210 0.051 0.529
```

Calculated values
**Total energy**: -3.7072 eV per atom
**Formation energy from raw total energies**: -0.281 eV per atom

(3)
A plane-wave DFT calculation with PBE was carried out for a relaxed BaNbCl2 crystal.

Structure (CIF):
```
data_BaNbCl2
_chemical_formula_sum 'Ba4 Nb4 Cl8'
_space_group_name_H-M_alt 'I -4 2 d'
_space_group_IT_number 122
_space_group_name_Hall 'I -4 2bw'
_cell_length_a 5.478
_cell_length_b 5.478
_cell_length_c 16.272
_cell_angle_alpha 90.00
_cell_angle_beta 90.00
_cell_angle_gamma 90.00
loop_
_atom_site_label
_atom_site_fract_x
_atom_site_fract_y
_atom_site_fract_z
Ba1 0.000 0.000 0.000
Nb1 0.000 0.000 0.500
Cl1 0.152 0.250 0.625
```

Calculated values
**Total energy**: -4.4455 eV per atom
**Formation energy from raw total energies**: -0.524 eV per atom

(4)
A plane-wave DFT calculation with PBE was carried out for a relaxed SbAu2 crystal.

Structure (CIF):
```
data_SbAu2
_chemical_formula_sum 'Sb1 Au2'
_space_group_name_H-M_alt 'P 6/m m m'
_space_group_IT_number 191
_space_group_name_Hall '-P 6 2'
_cell_length_a 4.9506
_cell_length_b 4.9506
_cell_length_c 2.9746
_cell_angle_alpha 90.00
_cell_angle_beta 90.00
_cell_angle_gamma 120.00
loop_
_atom_site_label
_atom_site_fract_x
_atom_site_fract_y
_atom_site_fract_z
Sb1 0.0000 0.0000 0.0000
Au1 0.3333 0.6667 0.5000
```

Calculated values
**Total energy**: -3.4186 eV per atom
**Formation energy from raw total energies**: 0.140 eV per atom

(5)
A plane-wave DFT calculation with PBE was carried out for a relaxed LiInP2 crystal.

Structure (CIF):
```
data_LiInP2
_chemical_formula_sum 'Li1 In1 P2'
_space_group_name_H-M_alt 'P 4/m m m'
_space_group_IT_number 123
_space_group_name_Hall '-P 4 2'
_cell_length_a 3.000
_cell_length_b 3.000
_cell_length_c 7.762
_cell_angle_alpha 90.00
_cell_angle_beta 90.00
_cell_angle_gamma 90.00
loop_
_atom_site_label
_atom_site_fract_x
_atom_site_fract_y
_atom_site_fract_z
Li1 0.000 0.000 0.000
In1 0.000 0.000 0.500
P1 0.500 0.500 0.199
```

Calculated values
**Energy of formation**: 14 kJ/mol of atoms
**Total energy**: -3.7190 eV per atom

(6)
A plane-wave DFT calculation with PBE was carried out for a relaxed ZrSiAs2 crystal.

Structure (CIF):
```
data_ZrSiAs2
_chemical_formula_sum 'Zr1 Si1 As2'
_space_group_name_H-M_alt 'P 4/m m m'
_space_group_IT_number 123
_space_group_name_Hall '-P 4 2'
_cell_length_a 4.544
_cell_length_b 4.544
_cell_length_c 3.515
_cell_angle_alpha 90.00
_cell_angle_beta 90.00
_cell_angle_gamma 90.00
loop_
_atom_site_label
_atom_site_fract_x
_atom_site_fract_y
_atom_site_fract_z
Zr1 0.000 0.000 0.000
Si1 0.500 0.500 0.000
As1 0.000 0.500 0.500
```

Calculated values
**Total energy**: -5.9841 eV per atom
**Formation energy from raw total energies**: -0.167 eV per atom

(7)
A plane-wave DFT calculation with PBE was carried out for a relaxed BC2 crystal.

Structure (CIF):
```
data_BC2
_chemical_formula_sum 'B2 C4'
_space_group_name_H-M_alt 'P -3 m 1'
_space_group_IT_number 164
_space_group_name_Hall '-P 3 2"'
_cell_length_a 2.6673
_cell_length_b 2.6673
_cell_length_c 8.0369
_cell_angle_alpha 90.00
_cell_angle_beta 90.00
_cell_angle_gamma 120.00
loop_
_atom_site_label
_atom_site_fract_x
_atom_site_fract_y
_atom_site_fract_z
B1 0.0000 0.0000 0.2416
C1 0.3333 0.6667 0.2651
C2 0.3333 0.6667 0.4679
```

Calculated values
**Energy of formation**: 36 kJ/mol of atoms
**Total energy**: -7.9973 eV per atom

(8)
A plane-wave DFT calculation with PBE was carried out for a relaxed PuIn2Hg crystal.

Structure (CIF):
```
data_PuIn2Hg
_chemical_formula_sum 'Pu2 In4 Hg2'
_space_group_name_H-M_alt 'P 4/n m m'
_space_group_IT_number 129
_cell_length_a 4.796
_cell_length_b 4.796
_cell_length_c 8.958
_cell_angle_alpha 90.00
_cell_angle_beta 90.00
_cell_angle_gamma 90.00
loop_
_space_group_symop_operation_xyz
'x,y,z'
'-x,-y,-z'
'-y+1/2,x,z'
'y+1/2,-x,-z'
'-x+1/2,-y+1/2,z'
'x+1/2,y+1/2,-z'
'y,-x+1/2,z'
'-y,x+1/2,-z'
'x+1/2,-y,-z'
'-x+1/2,y,z'
'-y,-x,-z'
'y,x,z'
'-x,y+1/2,-z'
'x,-y+1/2,z'
'y+1/2,x+1/2,-z'
'-y+1/2,-x+1/2,z'
loop_
_atom_site_label
_atom_site_fract_x
_atom_site_fract_y
_atom_site_fract_z
Pu1 0.250 0.250 0.239
In1 0.250 0.250 0.744
In2 0.250 0.750 0.500
Hg1 0.250 0.750 0.000
```

Calculated values
**Energy of formation**: -12 kJ/mol of atoms
**Total energy**: -5.1482 eV per atom